Entry 1:
The following is a DFT calculation (PBE-GGA) of a relaxed structure of CuCl2O2.

Cell and atoms, written as POSCAR:
```
CuCl2O2
1.0
3.665 -1.661 0.000
3.665 1.661 0.000
-1.108 0.000 9.565
Cu Cl O
1 2 2
direct
0.000 0.000 0.000 Cu
0.375 0.375 0.857 Cl
0.625 0.625 0.143 Cl
0.054 0.054 0.554 O
0.946 0.946 0.446 O
```

Properties
Excess energy over the best structure of this formula in the dataset: 0.000 eV/atom
Total DFT energy (no corrections): -19.15 eV/cell
Space-group type: No. 12

---

Entry 2:
The following is a DFT calculation (PBE-GGA) of a relaxed structure of SrCrRe.

Cell and atoms, written as POSCAR:
```
SrCrRe
1.0
4.046 0.000 0.000
-2.023 3.504 0.000
0.000 0.000 4.990
Sr Cr Re
1 1 1
direct
0.000 0.000 0.000 Sr
0.667 0.333 0.500 Cr
0.333 0.667 0.500 Re
```

Properties
Excess energy over the best structure of this formula in the dataset: 0.143 eV/atom
Total DFT energy (no corrections): -21.33 eV/cell
Space-group type: No. 187
E_form: 0.807 eV/atom

---

Entry 3:
The following is a DFT calculation (PBE-GGA) of a relaxed structure of ZrTl2Co.

Cell and atoms, written as POSCAR:
```
ZrTl2Co
1.0
0.000 3.448 3.448
3.448 0.000 3.448
3.448 3.448 0.000
Zr Tl Co
1 2 1
direct
0.000 0.000 0.000 Zr
0.250 0.250 0.250 Tl
0.500 0.500 0.500 Tl
0.750 0.750 0.750 Co
```

Properties
Total DFT energy (no corrections): -18.71 eV/cell
Space-group type: No. 216
E_form: 0.418 eV/atom

---

Entry 4:
The following is a DFT calculation (PBE-GGA) of a relaxed structure of Ti2Tl3PdS6.

Cell and atoms, written as POSCAR:
```
Ti2Tl3PdS6
1.0
3.126 -5.388 0.000
3.126 5.388 0.000
-1.958 0.000 7.668
Ti Tl Pd S
2 3 1 6
direct
0.170 0.830 0.000 Ti
0.830 0.170 0.000 Ti
0.000 0.000 0.500 Tl
0.338 0.662 0.500 Tl
0.662 0.338 0.500 Tl
0.500 0.500 0.000 Pd
0.097 0.439 0.819 S
0.217 0.217 0.173 S
0.439 0.097 0.819 S
0.561 0.903 0.181 S
0.783 0.783 0.827 S
0.903 0.561 0.181 S
```

Properties
Total DFT energy (no corrections): -61.66 eV/cell
Space-group type: No. 12

---

Entry 5:
The following is a DFT calculation (PBE-GGA) of a relaxed structure of TcPtO2.

Cell and atoms, written as POSCAR:
```
TcPtO2
1.0
1.391 0.803 6.721
-1.391 0.803 6.721
0.000 -1.607 6.721
Tc Pt O
1 1 2
direct
0.000 0.000 0.000 Tc
0.500 0.500 0.500 Pt
0.399 0.399 0.399 O
0.601 0.601 0.601 O
```

Properties
Excess energy over the best structure of this formula in the dataset: 0.000 eV/atom
Total DFT energy (no corrections): -29.50 eV/cell
Space-group type: No. 166

---

Entry 6:
The following is a DFT calculation (PBE-GGA) of a relaxed structure of MgScZn11.

Cell and atoms, written as POSCAR:
```
MgScZn11
1.0
2.669 -6.197 0.000
2.669 6.197 0.000
-2.625 0.000 6.249
Mg Sc Zn
1 1 11
direct
0.000 0.000 0.000 Mg
0.000 0.000 0.500 Sc
0.000 0.500 0.500 Zn
0.003 0.358 0.847 Zn
0.292 0.508 0.289 Zn
0.358 0.003 0.847 Zn
0.492 0.708 0.711 Zn
0.500 0.000 0.500 Zn
0.500 0.500 0.000 Zn
0.508 0.292 0.289 Zn
0.642 0.997 0.153 Zn
0.708 0.492 0.711 Zn
0.997 0.642 0.153 Zn
```

Properties
Total DFT energy (no corrections): -23.38 eV/cell
Space-group type: No. 12
E_form: -0.111 eV/atom